1.
# SCAN CaScCo2, PBEsol geometry
# total magnetic moment	3.33	μB/f.u.
# volume	18.47	Å³/atom
# E above lowest polymorph	0	meV per atom
# crystal system	tetragonal
# E_form	0.118	eV/atom
# final energy	-14.51	eV per atom
data_CaScCo2
_chemical_formula_sum 'Ca1 Sc1 Co2'
_symmetry_space_group_name_H-M 'P 4 m m'
_symmetry_Int_Tables_number 99
_cell_length_a 3.122
_cell_length_b 3.122
_cell_length_c 7.581
_cell_angle_alpha 90.00
_cell_angle_beta 90.00
_cell_angle_gamma 90.00
loop_
_symmetry_equiv_pos_as_xyz
'x,y,z'
'-y,x,z'
'-x,-y,z'
'y,-x,z'
'-x,y,z'
'y,x,z'
'x,-y,z'
'-y,-x,z'
loop_
_atom_site_label
_atom_site_type_symbol
_atom_site_fract_x
_atom_site_fract_y
_atom_site_fract_z
Ca1 Ca 0.000 0.000 0.000
Sc1 Sc 0.500 0.500 0.599
Co1 Co 0.000 0.000 0.388
Co2 Co 0.500 0.500 0.269


2.
# SCAN TaOsO3, PBEsol geometry
# total magnetic moment	1.06	μB/f.u.
# volume	11.60	Å³/atom
# crystal system	cubic
# formation energy without anion corrections	6	meV per atom
# final energy	-31.43	eV per atom
data_TaOsO3
_chemical_formula_sum 'Ta1 Os1 O3'
_symmetry_space_group_name_H-M 'P m -3 m'
_symmetry_Int_Tables_number 221
_symmetry_space_group_name_Hall '-P 4 2 3'
_cell_length_a 3.871
_cell_length_b 3.871
_cell_length_c 3.871
_cell_angle_alpha 90.00
_cell_angle_beta 90.00
_cell_angle_gamma 90.00
loop_
_atom_site_label
_atom_site_type_symbol
_atom_site_fract_x
_atom_site_fract_y
_atom_site_fract_z
Ta1 Ta 0.000 0.000 0.000
Os1 Os 0.500 0.500 0.500
O1 O 0.000 0.500 0.500


3.
# SCAN KFeP2, PBEsol geometry
# total magnetic moment	1.00	μB/f.u.
# volume	15.37	Å³/atom
# E above lowest polymorph	0	meV per atom
# crystal system	tetragonal
# E_form	-0.097	eV/atom
# final energy	-11.91	eV per atom
data_KFeP2
_chemical_formula_sum 'K1 Fe1 P2'
_symmetry_space_group_name_H-M 'P 4/m m m'
_symmetry_Int_Tables_number 123
_symmetry_space_group_name_Hall '-P 4 2'
_cell_length_a 2.832
_cell_length_b 2.832
_cell_length_c 7.665
_cell_angle_alpha 90.00
_cell_angle_beta 90.00
_cell_angle_gamma 90.00
loop_
_atom_site_label
_atom_site_type_symbol
_atom_site_fract_x
_atom_site_fract_y
_atom_site_fract_z
K1 K 0.000 0.000 0.000
Fe1 Fe 0.000 0.000 0.500
P1 P 0.500 0.500 0.327


4.
# SCAN CoIr2W, PBEsol geometry
# total magnetic moment	1.08	μB/f.u.
# volume	13.42	Å³/atom
# E above lowest polymorph	97	meV per atom
# crystal system	tetragonal
# E_form	-0.194	eV/atom
# final energy	-57.49	eV per atom
data_CoIr2W
_chemical_formula_sum 'Co1 Ir2 W1'
_symmetry_space_group_name_H-M 'P 4/m m m'
_symmetry_Int_Tables_number 123
_symmetry_space_group_name_Hall '-P 4 2'
_cell_length_a 3.793
_cell_length_b 3.793
_cell_length_c 3.733
_cell_angle_alpha 90.00
_cell_angle_beta 90.00
_cell_angle_gamma 90.00
loop_
_atom_site_label
_atom_site_type_symbol
_atom_site_fract_x
_atom_site_fract_y
_atom_site_fract_z
Co1 Co 0.000 0.000 0.000
Ir1 Ir 0.000 0.500 0.500
W1 W 0.500 0.500 0.000


5.
# SCAN GeSbTe2Pb, PBEsol geometry
# total magnetic moment	0.00	μB/f.u.
# volume	30.58	Å³/atom
# crystal system	tetragonal
# formation energy without anion corrections	372	meV per atom
# final energy	-40.95	eV per atom
data_GeSbTe2Pb
_chemical_formula_sum 'Ge1 Sb1 Te2 Pb1'
_symmetry_space_group_name_H-M 'P 4/m m m'
_symmetry_Int_Tables_number 123
_symmetry_space_group_name_Hall '-P 4 2'
_cell_length_a 5.405
_cell_length_b 5.405
_cell_length_c 5.234
_cell_angle_alpha 90.00
_cell_angle_beta 90.00
_cell_angle_gamma 90.00
loop_
_atom_site_label
_atom_site_type_symbol
_atom_site_fract_x
_atom_site_fract_y
_atom_site_fract_z
Ge1 Ge 0.000 0.000 0.000
Sb1 Sb 0.000 0.000 0.500
Te1 Te 0.000 0.500 0.000
Pb1 Pb 0.500 0.500 0.500


6.
# SCAN AlTl2Os, PBEsol geometry
# total magnetic moment	0.00	μB/f.u.
# volume	21.38	Å³/atom
# E above lowest polymorph	5	meV per atom
# crystal system	orthorhombic
# E_form	0.452	eV/atom
# final energy	-55.64	eV per atom
data_AlTl2Os
_chemical_formula_sum 'Al2 Tl4 Os2'
_symmetry_space_group_name_H-M 'I m m 2'
_symmetry_Int_Tables_number 44
_cell_length_a 2.986
_cell_length_b 4.603
_cell_length_c 12.446
_cell_angle_alpha 90.00
_cell_angle_beta 90.00
_cell_angle_gamma 90.00
loop_
_symmetry_equiv_pos_as_xyz
'x,y,z'
'-x,-y,z'
'-x,y,z'
'x,-y,z'
'x+1/2,y+1/2,z+1/2'
'-x+1/2,-y+1/2,z+1/2'
'-x+1/2,y+1/2,z+1/2'
'x+1/2,-y+1/2,z+1/2'
loop_
_atom_site_label
_atom_site_type_symbol
_atom_site_fract_x
_atom_site_fract_y
_atom_site_fract_z
Al1 Al 0.000 0.000 0.000
Tl1 Tl 0.000 0.000 0.375
Tl2 Tl 0.000 0.500 0.175
Os1 Os 0.000 0.500 0.661